Pr5Co2Rh PBE-GGA optimized geometry; density = 7.59 g/cm³; electronic total energy = -5.88 eV per atom; formation energy from the elements = -193 meV/atom
1.0
-3.727 3.727 7.289
3.727 -3.727 7.289
3.727 3.727 -7.289
Pr Co Rh
10 4 2
Direct
0.000 0.000 0.000
0.037 0.537 0.855
0.181 0.037 0.500
0.319 0.819 0.855
0.463 0.319 0.500
0.500 0.500 0.000
0.537 0.681 0.500
0.681 0.181 0.145
0.819 0.963 0.500
0.963 0.463 0.145
0.110 0.390 0.500
0.390 0.890 0.280
0.610 0.110 0.720
0.890 0.610 0.500
0.250 0.250 0.000
0.750 0.750 0.000